# 1
Material: TlCdNiPd
Method: DFT, GGA-PBE
State: optimized geometry

abc: 4.6159 4.6159 4.6159
angles: 60.00 60.00 60.00
Fractional coordinates of all 4 atoms:
Pd1 0.0000 0.0000 0.0000
Tl1 0.2500 0.2500 0.2500
Cd1 0.7500 0.7500 0.7500
Ni1 0.5000 0.5000 0.5000

Values from the calculation:
- Total DFT energy (no corrections): -14.27 eV for the cell shown
- Density: 11.51 Mg/m³
- E_form: -0.003 eV/atom

***

# 2
Material: TcTeRh2
Method: DFT, GGA-PBE
State: optimized geometry

abc: 8.6584 8.6584 8.6584
angles: 19.97 19.97 19.97
Fractional coordinates of all 4 atoms:
Te1 0.7502 0.7502 0.7502
Rh1 0.2473 0.2473 0.2473
Rh2 0.0011 0.0011 0.0011
Tc1 0.5014 0.5014 0.5014

Values from the calculation:
- Total DFT energy (no corrections): -26.69 eV for the cell shown
- Density: 10.82 Mg/m³
- Formation energy without anion corrections: 0.3793 eV per atom

***

# 3
Material: Tm4O
Method: DFT, GGA-PBE
State: optimized geometry

abc: 4.8529 4.8529 4.8529
angles: 90.00 90.00 90.00
Fractional coordinates of all 5 atoms:
Tm1 0.5000 0.0000 0.5000
Tm2 0.0000 0.0000 0.0000
Tm3 0.5000 0.5000 0.0000
Tm4 0.0000 0.5000 0.5000
O1 0.5000 0.5000 0.5000

Values from the calculation:
- Total DFT energy (no corrections): -28.34 eV for the cell shown
- Density: 10.05 Mg/m³
- Formation energy without anion corrections: -1.0988 eV per atom